No. 1
Below is an optimized crystal structure of MnWAu2, with properties calculated at the PBE level.

Crystal system: trigonal
ΔE to the lowest computed polymorph in meV per atom: 141
Energy of formation from the pure elements in meV per atom: 332
Volume in Å³/cell: 199.8
ρ in Mg/m³: 15.8

Cell: 2.9000 2.9000 27.4321 Å, 90.00 90.00 120.00°
Space group R-3m (No. 166, hexagonal axes)
Inequivalent atoms, fractional coordinates:
Mn  0.0000  0.0000  0.0000
W  0.0000  0.0000  0.5000
Au  0.0000  0.0000  0.2526


No. 2
Below is an optimized crystal structure of Sc2TiF, with properties calculated at the PBE level.

Crystal system: cubic
Uncorrected formation energy in kJ per mole of atoms: -5.4
ΔE to the lowest computed polymorph in meV per atom: 1025
Volume in Å³/cell: 324.1
ρ in Mg/m³: 3.2

Cell: 6.869 6.869 6.869 Å, 90.00 90.00 90.00°
Space group Fm-3m (No. 225)
Inequivalent atoms, fractional coordinates:
Sc  0.250  0.250  0.250
Ti  0.000  0.000  0.000
F  0.000  0.000  0.500


No. 3
Below is an optimized crystal structure of VCo5Ge, with properties calculated at the PBE level.

Crystal system: tetragonal
Energy of formation from the pure elements in meV per atom: 140
Volume in Å³/cell: 85.4
ρ in Mg/m³: 8.1

Cell: 3.972 3.972 5.416 Å, 90.00 90.00 90.00°
Space group P4/mmm (No. 123)
Inequivalent atoms, fractional coordinates:
V  0.000  0.000  0.000
Co  0.000  0.000  0.500
Co  0.000  0.500  0.239
Ge  0.500  0.500  0.500


No. 4
Below is an optimized crystal structure of PbAuSe2, with properties calculated at the PBE level.

Crystal system: trigonal
Uncorrected formation energy in kJ per mole of atoms: -11.9
Volume in Å³/cell: 298.9
ρ in Mg/m³: 9.4

Cell: 4.0545 4.0545 20.9931 Å, 90.00 90.00 120.00°
Space group R3m (No. 160, hexagonal axes)
Inequivalent atoms, fractional coordinates:
Pb  0.0000  0.0000  0.0000
Au  0.0000  0.0000  0.8322
Se  0.0000  0.0000  0.2374
Se  0.0000  0.0000  0.4307


No. 5
Below is an optimized crystal structure of YGaAu11, with properties calculated at the PBE level.

Crystal system: monoclinic
Energy of formation from the pure elements in meV per atom: -202
Volume in Å³/cell: 502.1
ρ in Mg/m³: 15.4

Cell: 5.486 13.633 7.088 Å, 90.00 108.73 90.00°
Space group C2/m (No. 12)
Inequivalent atoms, fractional coordinates:
Y  0.000  0.000  0.000
Ga  0.000  0.500  0.500
Au  0.000  0.000  0.500
Au  0.075  0.397  0.215
Au  0.148  0.173  0.349
Au  0.250  0.250  0.000


No. 6
Below is an optimized crystal structure of NbGeSCl2, with properties calculated at the PBE level.

Crystal system: tetragonal
Uncorrected formation energy in kJ per mole of atoms: 38.2
ΔE to the lowest computed polymorph in meV per atom: 566
Volume in Å³/cell: 119.0
ρ in Mg/m³: 3.7

Cell: 4.876 4.876 5.004 Å, 90.00 90.00 90.00°
Space group P4/mmm (No. 123)
Inequivalent atoms, fractional coordinates:
Nb  0.000  0.000  0.000
Ge  0.500  0.500  0.500
S  0.500  0.500  0.000
Cl  0.000  0.500  0.500


No. 7
Below is an optimized crystal structure of TaCr2Br, with properties calculated at the PBE level.

Crystal system: tetragonal
Uncorrected formation energy in kJ per mole of atoms: 95.4
ΔE to the lowest computed polymorph in meV per atom: 681
Volume in Å³/cell: 128.9
ρ in Mg/m³: 9.4

Cell: 4.055 4.055 7.839 Å, 90.00 90.00 90.00°
Space group I4/mmm (No. 139)
Inequivalent atoms, fractional coordinates:
Ta  0.000  0.000  0.000
Cr  0.000  0.500  0.250
Br  0.000  0.000  0.500


No. 8
Below is an optimized crystal structure of TcRu2Se, with properties calculated at the PBE level.

Crystal system: tetragonal
Uncorrected formation energy in kJ per mole of atoms: 41.1
Volume in Å³/cell: 116.6
ρ in Mg/m³: 10.8

Cell: 3.905 3.905 7.644 Å, 90.00 90.00 90.00°
Space group I-4m2 (No. 119)
Inequivalent atoms, fractional coordinates:
Tc  0.000  0.000  0.000
Ru  0.000  0.000  0.500
Ru  0.000  0.500  0.750
Se  0.000  0.500  0.250


No. 9
Below is an optimized crystal structure of RbTlIrO6, with properties calculated at the PBE level.

Crystal system: monoclinic
Uncorrected formation energy in kJ per mole of atoms: -63.1
Volume in Å³/cell: 343.8
ρ in Mg/m³: 5.6

Cell: 5.738 9.965 6.014 Å, 90.00 90.13 90.00°
Space group C2 (No. 5)
Inequivalent atoms, fractional coordinates:
Rb  0.000  0.000  0.000
Tl  0.000  0.334  0.500
Ir  0.000  0.667  0.500
O  0.106  0.526  0.316
O  0.161  0.790  0.315
O  0.236  0.187  0.314


No. 10
Below is an optimized crystal structure of HfHOsRu2, with properties calculated at the PBE level.

Crystal system: tetragonal
ΔE to the lowest computed polymorph in meV per atom: 0
Volume in Å³/cell: 64.0
ρ in Mg/m³: 14.8

Cell: 4.012 4.012 3.974 Å, 90.00 90.00 90.00°
Space group P4/mmm (No. 123)
Inequivalent atoms, fractional coordinates:
Hf  0.000  0.000  0.000
H  0.500  0.500  0.500
Os  0.500  0.500  0.000
Ru  0.000  0.500  0.500


No. 11
Below is an optimized crystal structure of Ce3PuRh, with properties calculated at the PBE level.

Crystal system: monoclinic
ΔE to the lowest computed polymorph in meV per atom: 21
Energy of formation from the pure elements in meV per atom: -177
Volume in Å³/cell: 942.1
ρ in Mg/m³: 10.8

Cell: 12.670 6.959 11.078 Å, 90.00 105.34 90.00°
Space group C2/c (No. 15)
Inequivalent atoms, fractional coordinates:
Ce  0.069  0.137  0.103
Ce  0.129  0.493  0.317
Ce  0.204  0.055  0.881
Pu  0.000  0.156  0.750
Pu  0.000  0.500  0.000
Rh  0.180  0.225  0.597


No. 12
Below is an optimized crystal structure of Tl2MoAs, with properties calculated at the PBE level.

Crystal system: tetragonal
ΔE to the lowest computed polymorph in meV per atom: 605
Energy of formation from the pure elements in meV per atom: 773
Volume in Å³/cell: 187.4
ρ in Mg/m³: 10.3

Cell: 4.154 4.154 10.863 Å, 90.00 90.00 90.00°
Space group I4/mmm (No. 139)
Inequivalent atoms, fractional coordinates:
Tl  0.000  0.500  0.250
Mo  0.000  0.000  0.000
As  0.000  0.000  0.500


No. 13
Below is an optimized crystal structure of La3Pm6Pr2Mg, with properties calculated at the PBE level.

Crystal system: monoclinic
Energy of formation from the pure elements in meV per atom: 16
Volume in Å³/cell: 824.2
ρ in Mg/m³: 6.4

Cell: 6.312 10.944 12.118 Å, 90.00 100.11 90.00°
Space group C2/m (No. 12)
Inequivalent atoms, fractional coordinates:
La  0.000  0.000  0.000
La  0.000  0.332  0.000
Pm  0.246  0.335  0.747
Pm  0.248  0.500  0.252
Pr  0.000  0.167  0.500
Mg  0.000  0.500  0.500


No. 14
Below is an optimized crystal structure of Cs2CrAuSe4, with properties calculated at the PBE level.

Crystal system: orthorhombic
Uncorrected formation energy in kJ per mole of atoms: -67.2
Volume in Å³/cell: 2188.9
ρ in Mg/m³: 5.0

Cell: 5.994 14.740 24.774 Å, 90.00 90.00 90.00°
Space group Fddd (No. 70, origin choice 2)
Inequivalent atoms, fractional coordinates:
Cs  0.125  0.125  0.304
Cr  0.125  0.125  0.625
Au  0.125  0.125  0.125
Se  0.085  0.282  0.820


No. 15
Below is an optimized crystal structure of Gd2TmAl, with properties calculated at the PBE level.

Crystal system: tetragonal
ΔE to the lowest computed polymorph in meV per atom: 31
Energy of formation from the pure elements in meV per atom: -166
Volume in Å³/cell: 111.8
ρ in Mg/m³: 7.6

Cell: 3.505 3.505 9.099 Å, 90.00 90.00 90.00°
Space group P4/mmm (No. 123)
Inequivalent atoms, fractional coordinates:
Gd  0.000  0.000  0.218
Tm  0.500  0.500  0.500
Al  0.500  0.500  0.000


No. 16
Below is an optimized crystal structure of Ce5Sb2RuO, with properties calculated at the PBE level.

Crystal system: tetragonal
Uncorrected formation energy in kJ per mole of atoms: -104.4
Volume in Å³/cell: 240.1
ρ in Mg/m³: 7.3

Cell: 4.594 4.594 11.374 Å, 90.00 90.00 90.00°
Space group P4/mmm (No. 123)
Inequivalent atoms, fractional coordinates:
Ce  0.000  0.000  0.000
Ce  0.000  0.500  0.500
Ce  0.500  0.500  0.221
Sb  0.000  0.000  0.289
Ru  0.500  0.500  0.000
O  0.500  0.500  0.500


No. 17
Below is an optimized crystal structure of GdMgNiPb, with properties calculated at the PBE level.

Crystal system: cubic
Energy of formation from the pure elements in meV per atom: -163
Volume in Å³/cell: 352.1
ρ in Mg/m³: 8.4

Cell: 7.061 7.061 7.061 Å, 90.00 90.00 90.00°
Space group F-43m (No. 216)
Inequivalent atoms, fractional coordinates:
Gd  0.000  0.000  0.000
Mg  0.000  0.000  0.500
Ni  0.250  0.250  0.750
Pb  0.250  0.250  0.250


No. 18
Below is an optimized crystal structure of Sr2LiCuRh2, with properties calculated at the PBE level.

Crystal system: orthorhombic
Energy of formation from the pure elements in meV per atom: -93
Volume in Å³/cell: 520.2
ρ in Mg/m³: 5.8

Cell: 5.951 14.795 5.908 Å, 90.00 90.00 90.00°
Space group Ibam (No. 72)
Inequivalent atoms, fractional coordinates:
Sr  0.242  0.164  0.000
Li  0.000  0.500  0.250
Cu  0.000  0.000  0.250
Rh  0.248  0.105  0.500


No. 19
Below is an optimized crystal structure of CsRb2Ca, with properties calculated at the PBE level.

Crystal system: cubic
ΔE to the lowest computed polymorph in meV per atom: 14
Energy of formation from the pure elements in meV per atom: 174
Volume in Å³/cell: 1226.5
ρ in Mg/m³: 1.9

Cell: 10.704 10.704 10.704 Å, 90.00 90.00 90.00°
Space group Fm-3m (No. 225)
Inequivalent atoms, fractional coordinates:
Cs  0.000  0.000  0.000
Rb  0.250  0.250  0.250
Ca  0.000  0.000  0.500


No. 20
Below is an optimized crystal structure of Hf3Sb4, with properties calculated at the PBE level.

Crystal system: monoclinic
Uncorrected formation energy in kJ per mole of atoms: -35.1
Volume in Å³/cell: 368.2
ρ in Mg/m³: 9.2

Cell: 15.277 4.078 5.925 Å, 90.00 93.96 90.00°
Space group C2/m (No. 12)
Inequivalent atoms, fractional coordinates:
Hf  0.000  0.000  0.000
Hf  0.195  0.000  0.770
Sb  0.058  0.500  0.702
Sb  0.168  0.000  0.260


No. 21
Below is an optimized crystal structure of Nd4Dy4Sc, with properties calculated at the PBE level.

Crystal system: tetragonal
ΔE to the lowest computed polymorph in meV per atom: 618
Energy of formation from the pure elements in meV per atom: 647
Volume in Å³/cell: 661.1
ρ in Mg/m³: 6.4

Cell: 5.303 5.303 23.504 Å, 90.00 90.00 90.00°
Space group I-42m (No. 121)
Inequivalent atoms, fractional coordinates:
Nd  0.247  0.247  0.373
Dy  0.000  0.000  0.248
Dy  0.000  0.500  0.000
Sc  0.000  0.000  0.500


No. 22
Below is an optimized crystal structure of Al2ReSb, with properties calculated at the PBE level.

Crystal system: monoclinic
Uncorrected formation energy in kJ per mole of atoms: 10.4
Volume in Å³/cell: 172.4
ρ in Mg/m³: 7.0

Cell: 8.634 3.315 6.039 Å, 90.00 93.94 90.00°
Space group Cm (No. 8)
Inequivalent atoms, fractional coordinates:
Al  0.000  0.000  0.000
Al  0.209  0.500  0.798
Re  0.419  0.000  0.697
Sb  0.095  0.000  0.436


No. 23
Below is an optimized crystal structure of CsRe2I, with properties calculated at the PBE level.

Crystal system: cubic
Uncorrected formation energy in kJ per mole of atoms: 249.7
ΔE to the lowest computed polymorph in meV per atom: 936
Volume in Å³/cell: 331.8
ρ in Mg/m³: 12.7

Cell: 6.923 6.923 6.923 Å, 90.00 90.00 90.00°
Space group Fm-3m (No. 225)
Inequivalent atoms, fractional coordinates:
Cs  0.000  0.000  0.000
Re  0.250  0.250  0.250
I  0.000  0.000  0.500


No. 24
Below is an optimized crystal structure of AsPdBr2, with properties calculated at the PBE level.

Crystal system: cubic
Uncorrected formation energy in kJ per mole of atoms: 41.5
ΔE to the lowest computed polymorph in meV per atom: 222
Volume in Å³/cell: 332.9
ρ in Mg/m³: 6.8

Cell: 6.930 6.930 6.930 Å, 90.00 90.00 90.00°
Space group Fm-3m (No. 225)
Inequivalent atoms, fractional coordinates:
As  0.000  0.000  0.000
Pd  0.000  0.000  0.500
Br  0.250  0.250  0.250


No. 25
Below is an optimized crystal structure of PmY2Er5Sc, with properties calculated at the PBE level.

Crystal system: orthorhombic
Energy of formation from the pure elements in meV per atom: 171
Volume in Å³/cell: 1125.2
ρ in Mg/m³: 7.1

Cell: 5.552 19.549 10.368 Å, 90.00 90.00 90.00°
Space group Cmc2_1 (No. 36)
Inequivalent atoms, fractional coordinates:
Pm  0.000  0.086  0.000
Y  0.000  0.387  0.279
Y  0.000  0.389  0.860
Er  0.000  0.019  0.283
Er  0.000  0.121  0.565
Er  0.000  0.202  0.250
Er  0.000  0.222  0.865
Er  0.000  0.480  0.566
Sc  0.000  0.302  0.559